(1)
Entry from Alexandria via LeMat-Bulk: a relaxed NpCuO6 crystal (PBE).

Output
- uncorrected energy (eV/atom) = -7.2305

Unit cell a=5.954 b=8.061 c=4.092 alpha=41.45 beta=95.51 gamma=113.55
Fractional coordinates of all 8 atoms:
O  0.195  0.384  0.458
O  0.387  0.897  0.222
O  0.804  0.997  0.489
O  0.613  0.103  0.778
O  0.805  0.616  0.542
O  0.196  0.003  0.511
Np  0.000  0.000  0.000
Cu  0.500  0.000  0.500



(2)
Entry from Alexandria via LeMat-Bulk: a relaxed Mo2RuW crystal (PBE).

Output
- DFT formation energy (eV/f.u.) = 0.5
- uncorrected energy (eV/atom) = -10.8460
- offset from the most stable computed form (eV per formula unit) = 0.07

Unit cell a=3.142 b=3.142 c=6.309 alpha=90.00 beta=90.00 gamma=90.00
Fractional coordinates of all 4 atoms:
Ru  0.000  0.000  0.508
W  0.500  0.500  0.752
Mo  0.000  0.000  0.002
Mo  0.500  0.500  0.238



(3)
Entry from Alexandria via LeMat-Bulk: a relaxed TbEr2Pb crystal (PBE).

Output
- DFT formation energy (eV/f.u.) = 0.2
- uncorrected energy (eV/atom) = -4.3155
- offset from the most stable computed form (eV per formula unit) = 1.36

Unit cell a=3.515 b=3.515 c=12.113 alpha=81.66 beta=81.66 gamma=60.00
Fractional coordinates of all 4 atoms:
Er  0.088  0.088  0.736
Er  0.912  0.912  0.264
Pb  0.000  0.000  0.000
Tb  0.500  0.500  0.500



(4)
Entry from Alexandria via LeMat-Bulk: a relaxed SiOsPb2W crystal (PBE).

Output
- uncorrected energy (eV/atom) = -5.9160
- offset from the most stable computed form (eV per formula unit) = 0.13

Unit cell a=5.318 b=4.554 c=5.318 alpha=90.00 beta=90.00 gamma=90.00
Last column: magnetic moment on the atom in μB.
Fractional coordinates of all 5 atoms:
Pb  0.000  0.000  0.500  -0.01
Pb  0.500  0.000  0.000  0.00
W  0.500  0.500  0.500  2.94
Os  0.000  0.000  0.000  0.17
Si  0.000  0.500  0.000  -0.01



(5)
Entry from Alexandria via LeMat-Bulk: a relaxed NiHPd crystal (PBE).

Output
- uncorrected energy (eV/atom) = -4.7888

Unit cell a=2.775 b=2.775 c=8.941 alpha=81.07 beta=81.07 gamma=60.00
Fractional coordinates of all 6 atoms:
Pd  0.378  0.378  0.867
Pd  0.622  0.622  0.133
Ni  0.125  0.125  0.625
Ni  0.875  0.875  0.375
H  0.191  0.191  0.426
H  0.809  0.809  0.574



(6)
Entry from Alexandria via LeMat-Bulk: a relaxed KNaLiTl crystal (PBE).

Output
- DFT formation energy (eV/f.u.) = 0.0
- uncorrected energy (eV/atom) = -1.6750

Unit cell a=5.630 b=5.630 c=5.630 alpha=60.00 beta=60.00 gamma=60.00
Fractional coordinates of all 4 atoms:
Na  0.500  0.500  0.500
K  0.750  0.750  0.750
Tl  0.250  0.250  0.250
Li  0.000  0.000  0.000



(7)
Entry from Alexandria via LeMat-Bulk: a relaxed MgRu2Se crystal (PBE).

Output
- uncorrected energy (eV/atom) = -5.7988
- offset from the most stable computed form (eV per formula unit) = 0.29

Unit cell a=4.461 b=4.461 c=5.034 alpha=80.40 beta=80.40 gamma=38.83
Fractional coordinates of all 4 atoms:
Se  0.750  0.750  0.750
Mg  0.250  0.250  0.250
Ru  0.493  0.493  0.526
Ru  0.007  0.007  0.974



(8)
Entry from Alexandria via LeMat-Bulk: a relaxed Nb3BiAs crystal (PBE).

Output
- DFT formation energy (eV/f.u.) = 9.9
- uncorrected energy (eV/atom) = -5.7689
- offset from the most stable computed form (eV per formula unit) = 6.96

Unit cell a=5.162 b=5.162 c=5.162 alpha=90.00 beta=90.00 gamma=90.00
Fractional coordinates of all 5 atoms:
Bi  0.000  0.000  0.000
Nb  0.500  0.000  0.000
Nb  0.000  0.500  0.000
Nb  0.000  0.000  0.500
As  0.500  0.500  0.500



(9)
Entry from Alexandria via LeMat-Bulk: a relaxed Sr2HfSe crystal (PBE).

Output
- uncorrected energy (eV/atom) = -4.3166

Unit cell a=10.976 b=10.976 c=8.173 alpha=47.82 beta=47.82 gamma=90.00
Last column: magnetic moment on the atom in μB.
Fractional coordinates of all 8 atoms:
Sr  0.375  0.512  0.750  0.05
Sr  0.262  0.625  0.250  0.05
Sr  0.875  0.738  0.750  0.05
Sr  0.488  0.125  0.250  0.05
Hf  0.000  0.000  0.000  0.58
Hf  0.750  0.250  0.500  0.58
Se  0.250  0.750  0.500  -0.01
Se  0.500  0.500  0.000  -0.01



(10)
Entry from Alexandria via LeMat-Bulk: a relaxed BeVReN2 crystal (PBE).

Output
- uncorrected energy (eV/atom) = -7.1716

Unit cell a=3.684 b=4.180 c=3.684 alpha=90.00 beta=90.00 gamma=90.00
Fractional coordinates of all 5 atoms:
V  0.000  0.000  0.000
Re  0.500  0.500  0.500
N  0.500  0.000  0.000
N  0.000  0.000  0.500
Be  0.000  0.500  0.000



(11)
Entry from Alexandria via LeMat-Bulk: a relaxed Ho2Tm2Ir3 crystal (PBE).

Output
- DFT formation energy (eV/f.u.) = -6.1
- uncorrected energy (eV/atom) = -7.2568

Unit cell a=4.759 b=4.757 c=8.329 alpha=106.69 beta=89.96 gamma=120.02
Fractional coordinates of all 7 atoms:
Ir  0.750  0.499  0.248
Ir  0.000  0.000  0.000
Ir  0.250  0.501  0.752
Ho  0.875  0.750  0.624
Ho  0.125  0.250  0.376
Tm  0.624  0.248  0.873
Tm  0.376  0.752  0.127



(12)
Entry from Alexandria via LeMat-Bulk: a relaxed CaCd3Br8 crystal (PBE).

Output
- uncorrected energy (eV/atom) = -2.6582

Unit cell a=8.209 b=8.211 c=8.406 alpha=119.64 beta=90.00 gamma=119.99
Fractional coordinates of all 12 atoms:
Ca  0.000  0.000  0.000
Br  0.257  0.514  0.774
Br  0.249  0.984  0.230
Br  0.751  0.502  0.770
Br  0.249  0.498  0.230
Br  0.735  0.984  0.230
Br  0.751  0.016  0.770
Br  0.743  0.486  0.226
Br  0.265  0.016  0.770
Cd  0.000  0.500  0.000
Cd  0.500  0.500  0.000
Cd  0.500  0.000  0.000



(13)
Entry from Alexandria via LeMat-Bulk: a relaxed Dy2PaPb crystal (PBE).

Output
- DFT formation energy (eV/f.u.) = -0.2
- uncorrected energy (eV/atom) = -5.6545
- offset from the most stable computed form (eV per formula unit) = 0.07

Unit cell a=4.544 b=4.906 c=4.906 alpha=90.00 beta=90.00 gamma=90.00
Fractional coordinates of all 4 atoms:
Dy  0.000  0.000  0.500
Dy  0.000  0.500  0.000
Pa  0.500  0.500  0.500
Pb  0.500  0.000  0.000



(14)
Entry from Alexandria via LeMat-Bulk: a relaxed PrLuZnSn crystal (PBE).

Output
- DFT formation energy (eV/f.u.) = -1.9
- uncorrected energy (eV/atom) = -4.1079

Unit cell a=5.240 b=5.240 c=5.240 alpha=60.00 beta=60.00 gamma=60.00
Fractional coordinates of all 4 atoms:
Sn  0.000  0.000  0.000
Zn  0.500  0.500  0.500
Pr  0.750  0.750  0.750
Lu  0.250  0.250  0.250



(15)
Entry from Alexandria via LeMat-Bulk: a relaxed Cs2AgF crystal (PBE).

Output
- uncorrected energy (eV/atom) = -2.8294
- offset from the most stable computed form (eV per formula unit) = 0.10

Unit cell a=4.652 b=4.652 c=8.852 alpha=74.77 beta=74.77 gamma=60.00
Fractional coordinates of all 4 atoms:
F  0.000  0.000  0.000
Ag  0.500  0.500  0.500
Cs  0.268  0.268  0.195
Cs  0.732  0.732  0.805



(16)
Entry from Alexandria via LeMat-Bulk: a relaxed KAu2 crystal (PBE).

Output
- DFT formation energy (eV/f.u.) = -0.7
- uncorrected energy (eV/atom) = -2.7825

Unit cell a=4.523 b=4.723 c=4.723 alpha=120.00 beta=90.00 gamma=90.00
Fractional coordinates of all 3 atoms:
Au  0.000  0.667  0.333
Au  0.000  0.333  0.667
K  0.500  0.000  0.000



(17)
Entry from Alexandria via LeMat-Bulk: a relaxed PmTh2Pt crystal (PBE).

Output
- DFT formation energy (eV/f.u.) = -1.9
- uncorrected energy (eV/atom) = -6.8764
- offset from the most stable computed form (eV per formula unit) = 0.53

Unit cell a=3.713 b=3.713 c=8.301 alpha=90.00 beta=90.00 gamma=90.00
Fractional coordinates of all 4 atoms:
Pt  0.500  0.500  0.000
Th  0.000  0.000  0.202
Th  0.000  0.000  0.798
Pm  0.500  0.500  0.500



(18)
Entry from Alexandria via LeMat-Bulk: a relaxed HoScPa2 crystal (PBE).

Output
- DFT formation energy (eV/f.u.) = 1.8
- uncorrected energy (eV/atom) = -7.0147
- offset from the most stable computed form (eV per formula unit) = 1.31

Unit cell a=5.306 b=5.306 c=5.306 alpha=60.00 beta=60.00 gamma=60.00
Last column: magnetic moment on the atom in μB.
Fractional coordinates of all 4 atoms:
Pa  0.250  0.250  0.250  0.14
Pa  0.750  0.750  0.750  0.14
Ho  0.000  0.000  0.000  0.02
Sc  0.500  0.500  0.500  0.02



(19)
Entry from Alexandria via LeMat-Bulk: a relaxed CaMnZn crystal (PBE).

Output
- DFT formation energy (eV/f.u.) = 0.5
- uncorrected energy (eV/atom) = -3.9980

Unit cell a=5.960 b=5.960 c=3.399 alpha=73.43 beta=73.44 gamma=33.13
Last column: magnetic moment on the atom in μB.
Fractional coordinates of all 3 atoms:
Ca  0.002  0.002  0.998  -0.04
Zn  0.701  0.701  0.299  -0.05
Mn  0.297  0.297  0.703  3.62



(20)
Entry from Alexandria via LeMat-Bulk: a relaxed HoEr3Os crystal (PBE).

Output
- DFT formation energy (eV/f.u.) = 0.1
- uncorrected energy (eV/atom) = -5.8824
- offset from the most stable computed form (eV per formula unit) = 0.93

Unit cell a=5.373 b=5.373 c=5.373 alpha=90.00 beta=90.00 gamma=90.00
Fractional coordinates of all 5 atoms:
Er  0.000  0.500  0.000
Er  0.000  0.000  0.500
Er  0.500  0.000  0.000
Os  0.000  0.000  0.000
Ho  0.500  0.500  0.500



(21)
Entry from Alexandria via LeMat-Bulk: a relaxed KNiW2 crystal (PBE).

Output
- DFT formation energy (eV/f.u.) = 6.0
- uncorrected energy (eV/atom) = -6.6951
- offset from the most stable computed form (eV per formula unit) = 3.14

Unit cell a=5.793 b=5.793 c=2.634 alpha=90.00 beta=90.00 gamma=125.60
Fractional coordinates of all 4 atoms:
K  0.500  0.000  0.500
W  0.500  0.500  0.000
W  0.000  0.000  0.000
Ni  0.000  0.500  0.500



(22)
Entry from Alexandria via LeMat-Bulk: a relaxed RbS2Cl6 crystal (PBE).

Output
- uncorrected energy (eV/atom) = -2.7301

Unit cell a=8.058 b=10.421 c=10.421 alpha=64.67 beta=59.88 gamma=59.88
Last column: magnetic moment on the atom in μB.
Fractional coordinates of all 18 atoms:
Cl  0.755  0.199  0.079  0.04
Cl  0.679  0.698  0.534  0.06
Cl  0.745  0.921  0.801  0.04
Cl  0.821  0.466  0.302  0.06
Cl  0.092  0.089  0.551  0.06
Cl  0.592  0.551  0.089  0.06
Cl  0.255  0.079  0.199  0.04
Cl  0.408  0.449  0.911  0.06
Cl  0.321  0.302  0.466  0.06
Cl  0.245  0.801  0.921  0.04
Cl  0.179  0.534  0.698  0.06
Cl  0.908  0.911  0.449  0.06
S  0.778  0.360  0.187  0.20
S  0.222  0.640  0.813  0.20
S  0.722  0.813  0.640  0.20
S  0.278  0.187  0.360  0.20
Rb  0.250  0.141  0.859  0.00
Rb  0.750  0.859  0.141  0.00



(23)
Entry from Alexandria via LeMat-Bulk: a relaxed TlRuRh2 crystal (PBE).

Output
- DFT formation energy (eV/f.u.) = 2.6
- uncorrected energy (eV/atom) = -5.9406
- offset from the most stable computed form (eV per formula unit) = 1.73

Unit cell a=7.218 b=7.218 c=5.798 alpha=51.50 beta=51.50 gamma=90.00
Fractional coordinates of all 8 atoms:
Ru  0.500  0.500  0.000
Ru  0.250  0.750  0.500
Rh  0.375  0.410  0.750
Rh  0.590  0.125  0.250
Rh  0.875  0.840  0.750
Rh  0.160  0.625  0.250
Tl  0.000  0.000  0.000
Tl  0.750  0.250  0.500



(24)
Entry from Alexandria via LeMat-Bulk: a relaxed Ac2RuPb crystal (PBE).

Output
- DFT formation energy (eV/f.u.) = -0.9
- uncorrected energy (eV/atom) = -5.5259

Unit cell a=3.681 b=3.681 c=8.967 alpha=90.00 beta=90.00 gamma=90.00
Fractional coordinates of all 4 atoms:
Ac  0.000  0.000  0.206
Ac  0.000  0.000  0.794
Ru  0.500  0.500  0.000
Pb  0.500  0.500  0.500



(25)
Entry from Alexandria via LeMat-Bulk: a relaxed Na3Li2Cd4 crystal (PBE).

Output
- DFT formation energy (eV/f.u.) = -1.0
- uncorrected energy (eV/atom) = -1.3868

Unit cell a=4.988 b=6.161 c=8.323 alpha=104.89 beta=89.64 gamma=116.53
Fractional coordinates of all 9 atoms:
Cd  0.724  0.451  0.074
Cd  0.276  0.549  0.926
Cd  0.855  0.716  0.439
Cd  0.145  0.284  0.561
Na  0.473  0.934  0.698
Na  0.000  0.000  0.000
Na  0.527  0.066  0.302
Li  0.756  0.499  0.718
Li  0.244  0.501  0.282



(26)
Entry from Alexandria via LeMat-Bulk: a relaxed In6Ga3Sn crystal (PBE).

Output
- DFT formation energy (eV/f.u.) = 0.4
- uncorrected energy (eV/atom) = -2.9080
- offset from the most stable computed form (eV per formula unit) = 0.00

Unit cell a=6.321 b=6.321 c=6.321 alpha=89.41 beta=89.41 gamma=89.41
Fractional coordinates of all 10 atoms:
In  0.055  0.744  0.399
In  0.399  0.055  0.744
In  0.254  0.546  0.899
In  0.899  0.254  0.546
In  0.546  0.899  0.254
In  0.744  0.399  0.055
Ga  0.160  0.160  0.160
Ga  0.641  0.641  0.641
Ga  0.401  0.401  0.401
Sn  0.901  0.901  0.901